Here is an optimized crystal structure of SrHg2Te from Alexandria via LeMat-Bulk. Energies are from PBE.

a b c (Å): 5.2650 5.2650 6.1676
angles (deg): 115.82 115.82 60.45
With the nearest neighbours (Å) after each atom.
Element x y z (fractional)
Sr  0.0000  0.0000  0.0000  6 Hg 3.38-3.76, 4 Te 3.44-3.73
Hg  0.4683  0.4683  0.4067  3 Hg 3.12-3.13, 3 Te 3.42-3.44
Hg  0.7590  0.7590  0.2760  3 Hg 3.12-3.13, 3 Sr 3.38-3.39
Te  0.2324  0.2324  0.7002  7 Hg 3.42-3.82, 4 Sr 3.44-3.73

- ΔE_f (raw) (eV/atom) = -0.69
- total moment (μB per atom) = 0.000